The following is a GGA-PBE calculation of a relaxed structure of PrCuPt, from the Alexandria database.

a b c (Å): 3.6770 3.6770 5.2733
angles (deg): 110.40 110.40 90.00
Closest atoms and distances in Å follow each position.
Positions (direct):
1 Cu 0.2991 0.2991 0.5981  5 Pr 2.86-3.12, 4 Pt 2.90
2 Pr 0.6108 0.6108 0.2215  5 Cu 2.86-3.12, 5 Pt 3.02-3.03
3 Pt 0.9402 0.9402 0.8804  4 Cu 2.90, 5 Pr 3.02-3.03

**Total magnetic moment**: 0.0 μB/f.u.
**Offset from the most stable computed form**: 218 meV per atom
**SG**: I4mm (107)
**Energy of formation from the pure elements**: -0.510 eV/atom

---

The following is a GGA-PBE calculation of a relaxed structure of Pr4CuPt, from the Alexandria database.

a b c (Å): 8.1351 8.1351 8.1351
angles (deg): 106.39 106.39 115.83
Closest atoms and distances in Å follow each position.
Positions (direct):
1 Pt 0.7488 0.7488 0.0000  6 Pr 2.90-2.93
2 Pt 0.4988 0.9988 0.5000  6 Pr 2.90-2.93
3 Cu 0.0023 0.5023 0.5000  6 Pr 2.90-2.93
4 Cu 0.2523 0.2523 0.0000  6 Pr 2.90-2.93
5 Pr 0.1977 0.9986 0.1992  2 Pt 2.90-2.93, 1 Cu 2.93
6 Pr 0.7009 0.5008 0.2001  1 Pt 2.90, 2 Cu 2.90-2.92
7 Pr 0.2508 0.5508 0.2999  1 Pt 2.90, 2 Cu 2.90-2.92
8 Pr 0.2508 0.9509 0.7001  1 Pt 2.90, 2 Cu 2.90-2.92
9 Pr 0.3008 0.5008 0.7999  1 Pt 2.90, 2 Cu 2.90-2.92
10 Pr 0.7486 0.0494 0.3008  2 Pt 2.90-2.93, 1 Cu 2.93
11 Pr 0.7486 0.4477 0.6992  2 Pt 2.90-2.93, 1 Cu 2.93
12 Pr 0.7994 0.9986 0.8008  2 Pt 2.90-2.93, 1 Cu 2.93

**Total magnetic moment**: 0.0 μB/f.u.
**SG**: I4_1md (109)
**Energy of formation from the pure elements**: -0.237 eV/atom

---

The following is a GGA-PBE calculation of a relaxed structure of PrCuPt, from the Alexandria database.

a b c (Å): 4.3844 4.3844 7.7011
angles (deg): 90.00 90.00 120.01
Closest atoms and distances in Å follow each position.
Positions (direct):
1 Pr 0.0000 0.5000 0.5000  6 Cu 3.18, 6 Pt 3.18
2 Pr 0.0000 0.5000 0.0000  6 Cu 3.18, 6 Pt 3.18
3 Pt 0.3335 0.1665 0.2500  3 Cu 2.53
4 Pt 0.6665 0.8335 0.7500  3 Cu 2.53
5 Cu 0.6668 0.8332 0.2500  3 Pt 2.53
6 Cu 0.3332 0.1668 0.7500  3 Pt 2.53

**Total magnetic moment**: 0.0 μB/f.u.
**Offset from the most stable computed form**: 0 meV per atom
**SG**: P6_3/mmc (194)
**Energy of formation from the pure elements**: -0.727 eV/atom

---

The following is a GGA-PBE calculation of a relaxed structure of Pr2Cu3Pt, from the Alexandria database.

a b c (Å): 3.8659 4.3105 7.5434
angles (deg): 90.00 90.00 90.00
Closest atoms and distances in Å follow each position.
Positions (direct):
1 Cu 0.5000 0.0000 0.8317  3 Cu 2.44-2.45
2 Cu 0.5000 0.0000 0.1545  1 Cu 2.44, 2 Pt 2.55
3 Cu 0.5000 0.5000 0.6768  2 Cu 2.45, 1 Pt 2.57
4 Pr 0.0000 0.0000 0.4939  4 Pt 3.13, 8 Cu 3.20-3.21
5 Pr 0.0000 0.5000 0.0067  10 Cu 3.10-3.18, 2 Pt 3.15
6 Pt 0.5000 0.5000 0.3364  3 Cu 2.55-2.57

**Total magnetic moment**: 0.0 μB/f.u.
**Offset from the most stable computed form**: 3 meV per atom
**SG**: Pmm2 (25)
**Energy of formation from the pure elements**: -0.462 eV/atom

---

The following is a GGA-PBE calculation of a relaxed structure of PrCu4Pt8, from the Alexandria database.

a b c (Å): 5.0868 6.8450 6.8450
angles (deg): 82.06 68.19 68.19
Closest atoms and distances in Å follow each position.
Positions (direct):
1 Pt 0.7222 0.7778 0.7778  4 Cu 2.59, 6 Pt 2.78-2.85
2 Pt 0.5000 0.7778 0.2222  4 Cu 2.59, 6 Pt 2.78-2.85
3 Pt 0.5000 0.2222 0.7778  4 Cu 2.59, 6 Pt 2.78-2.85
4 Pt 0.3474 0.6526 0.6526  4 Cu 2.73, 5 Pt 2.74-2.85
5 Pt 0.6526 0.3474 0.3474  4 Cu 2.73, 5 Pt 2.74-2.85
6 Pt 0.0000 0.6526 0.3474  4 Cu 2.73, 5 Pt 2.74-2.85
7 Pt 0.0000 0.3474 0.6526  4 Cu 2.73, 5 Pt 2.74-2.85
8 Pt 0.2778 0.2222 0.2222  4 Cu 2.59, 6 Pt 2.78-2.85
9 Cu 0.0000 0.5000 0.0000  2 Cu 2.54, 8 Pt 2.59-2.73
10 Cu 0.5000 0.5000 0.0000  2 Cu 2.54, 8 Pt 2.59-2.73
11 Cu 0.0000 0.0000 0.5000  2 Cu 2.54, 8 Pt 2.59-2.73
12 Cu 0.5000 0.0000 0.5000  2 Cu 2.54, 8 Pt 2.59-2.73
13 Pr 0.0000 0.0000 0.0000  12 Pt 3.12-3.23, 8 Cu 3.42

**Total magnetic moment**: 0.0 μB/f.u.
**SG**: I4/mmm (139)
**Energy of formation from the pure elements**: -0.337 eV/atom

---

The following is a GGA-PBE calculation of a relaxed structure of PrCu5Pt2, from the Alexandria database.

a b c (Å): 3.9632 6.2300 6.2300
angles (deg): 70.52 71.45 71.45
Closest atoms and distances in Å follow each position.
Positions (direct):
1 Cu 0.0000 0.5000 0.5000  2 Pt 2.49, 8 Cu 2.67
2 Cu 0.3631 0.8102 0.4636  4 Cu 2.49-2.67, 3 Pt 2.52-2.63
3 Cu 0.6369 0.5364 0.1898  4 Cu 2.49-2.67, 3 Pt 2.52-2.63
4 Cu 0.3631 0.4636 0.8102  4 Cu 2.49-2.67, 3 Pt 2.52-2.63
5 Cu 0.6369 0.1898 0.5364  4 Cu 2.49-2.67, 3 Pt 2.52-2.63
6 Pt 0.7340 0.7660 0.7660  7 Cu 2.49-2.63
7 Pt 0.2660 0.2340 0.2340  7 Cu 2.49-2.63
8 Pr 0.0000 0.0000 0.0000  4 Pt 2.96

**Total magnetic moment**: 0.0 μB/f.u.
**SG**: Immm (71)
**Energy of formation from the pure elements**: -0.221 eV/atom

---

The following is a GGA-PBE calculation of a relaxed structure of Pr2Cu2Pt, from the Alexandria database.

a b c (Å): 4.2074 5.7568 10.3409
angles (deg): 86.75 78.26 68.57
Closest atoms and distances in Å follow each position.
Positions (direct):
1 Pt 0.5840 0.1485 0.6835  3 Cu 2.56-2.63
2 Pt 0.4160 0.8515 0.3165  3 Cu 2.56-2.63
3 Pr 0.6937 0.2535 0.3591  4 Pt 3.04-3.34, 7 Cu 3.06-3.35
4 Pr 0.0857 0.7138 0.1148  2 Pt 3.01, 6 Cu 3.09-3.20
5 Pr 0.9143 0.2862 0.8852  2 Pt 3.01, 6 Cu 3.09-3.20
6 Pr 0.3063 0.7465 0.6409  4 Pt 3.04-3.34, 7 Cu 3.06-3.35
7 Cu 0.6226 0.8632 0.8916  1 Cu 2.62, 1 Pt 2.63
8 Cu 0.3774 0.1368 0.1084  1 Cu 2.62, 1 Pt 2.63
9 Cu 0.9522 0.6718 0.4238  1 Cu 2.42, 2 Pt 2.56
10 Cu 0.0478 0.3282 0.5762  1 Cu 2.42, 2 Pt 2.56

**Total magnetic moment**: 0.0 μB/f.u.
**Offset from the most stable computed form**: 0 meV per atom
**SG**: C2/m (12)
**Energy of formation from the pure elements**: -0.523 eV/atom

---

The following is a GGA-PBE calculation of a relaxed structure of Pr2CuPt, from the Alexandria database.

a b c (Å): 3.6343 5.1314 5.1314
angles (deg): 90.00 90.00 90.00
Closest atoms and distances in Å follow each position.
Positions (direct):
1 Pr 0.0000 0.0000 0.5000  4 Cu 3.14, 4 Pt 3.14
2 Pr 0.0000 0.5000 0.0000  4 Cu 3.14, 4 Pt 3.14
3 Cu 0.5000 0.0000 0.0000  8 Pr 3.14
4 Pt 0.5000 0.5000 0.5000  8 Pr 3.14

**Total magnetic moment**: 0.0 μB/f.u.
**SG**: P4/mmm (123)
**Energy of formation from the pure elements**: -0.578 eV/atom

---

Question: Which formula does entry 5 have?
Answer: PrCu4Pt8

---

Question: Number 3 is which compound?
Answer: PrCuPt